## LaDy3Er4 (PBE)

Data for crystalline LaDy3Er4 at its relaxed geometry.

Calculated values
**Energy of formation from the pure elements**: 0.02 eV/atom
**Energy above the lowest structure with this stoichiometry**: 0.0 kJ/mol of formula units
**D(E_F)**: 1.67 states/eV per atom

The structure in POSCAR format:
```
LaDy3Er4
1.0
-3.246 4.496 -2.908
-4.511 0.417 5.681
6.642 7.834 4.698
Er Dy La
8 6 2
Direct
0.482 0.877 0.248 Er
0.648 0.121 0.000 Er
0.148 0.877 0.000 Er
0.648 0.123 0.500 Er
0.148 0.879 0.500 Er
0.982 0.123 0.748 Er
0.482 0.877 0.752 Er
0.982 0.123 0.252 Er
0.982 0.628 0.749 Dy
0.482 0.372 0.249 Dy
0.147 0.372 0.500 Dy
0.482 0.372 0.751 Dy
0.982 0.628 0.251 Dy
0.647 0.628 0.000 Dy
0.145 0.374 0.000 La
0.645 0.626 0.500 La
```



## IrS2N2 (PBE)

Data for crystalline IrS2N2 at its relaxed geometry.

Calculated values
**Energy above the lowest structure with this stoichiometry**: 239.6 kJ/mol of formula units
**D(E_F)**: 0.56 states/eV per atom

The structure in POSCAR format:
```
IrS2N2
1.0
-2.008 -2.526 0.800
2.529 -1.528 1.524
-1.923 3.719 6.919
N Ir S
2 1 2
Direct
0.000 0.500 0.000 N
0.500 0.000 0.000 N
0.500 0.500 0.500 Ir
0.000 0.000 0.500 S
0.000 0.000 0.000 S
```



## PrReB4 (PBE)

Data for crystalline PrReB4 at its relaxed geometry.

Calculated values
**Energy of formation from the pure elements**: -0.45 eV/atom
**D(E_F)**: 0.30 states/eV per atom

The structure in POSCAR format:
```
PrReB4
1.0
-0.970 -1.274 -3.335
-3.793 -3.999 2.631
-8.732 7.953 -0.500
Re B Pr
4 16 4
Direct
0.000 0.872 0.586 Re
0.000 0.372 0.914 Re
0.000 0.128 0.414 Re
0.000 0.628 0.086 Re
0.500 0.388 0.046 B
0.500 0.476 0.189 B
0.500 0.280 0.317 B
0.500 0.858 0.032 B
0.500 0.112 0.546 B
0.500 0.358 0.468 B
0.500 0.142 0.968 B
0.500 0.642 0.532 B
0.500 0.888 0.454 B
0.500 0.976 0.311 B
0.500 0.220 0.817 B
0.500 0.524 0.811 B
0.500 0.720 0.683 B
0.500 0.612 0.954 B
0.500 0.780 0.183 B
0.500 0.024 0.689 B
0.000 0.124 0.151 Pr
0.000 0.624 0.349 Pr
0.000 0.876 0.849 Pr
0.000 0.376 0.651 Pr
```



## K3Ac2InO6 (PBE)

Data for crystalline K3Ac2InO6 at its relaxed geometry.

Calculated values
**E_tot**: -5.84 eV per atom
**D(E_F)**: 0.00 states/eV per atom

The structure in POSCAR format:
```
K3Ac2InO6
1.0
6.398 -0.008 0.012
-3.204 5.537 0.012
-1.054 -1.824 6.344
Ac O In K
2 6 1 3
Direct
0.333 0.667 0.000 Ac
0.667 0.333 0.000 Ac
0.064 0.372 0.195 O
0.936 0.628 0.805 O
0.754 0.754 0.193 O
0.628 0.936 0.805 O
0.246 0.246 0.807 O
0.372 0.064 0.195 O
0.000 0.000 0.000 In
0.500 0.500 0.500 K
0.156 0.844 0.500 K
0.844 0.156 0.500 K
```



## AsPtIN2 (PBE)

Data for crystalline AsPtIN2 at its relaxed geometry.

Calculated values
**Energy above the lowest structure with this stoichiometry**: 0.0 kJ/mol of formula units
**D(E_F)**: 0.76 states/eV per atom

The structure in POSCAR format:
```
AsPtIN2
1.0
-0.751 -3.440 1.556
1.858 -1.718 -2.901
7.297 0.411 4.429
I N Pt As
1 2 1 1
Direct
0.000 0.000 0.500 I
0.000 0.500 0.000 N
0.500 0.000 0.000 N
0.000 0.000 0.000 Pt
0.500 0.500 0.500 As
```



## Pr2Cd3Hg4 (PBE)

Data for crystalline Pr2Cd3Hg4 at its relaxed geometry.

Calculated values
**Energy of formation from the pure elements**: -0.34 eV/atom
**Energy above the lowest structure with this stoichiometry**: 0.0 kJ/mol of formula units
**D(E_F)**: 0.35 states/eV per atom

The structure in POSCAR format:
```
Pr2Cd3Hg4
1.0
-3.054 -1.385 -3.913
-0.298 -4.947 -1.409
-7.461 -1.347 6.287
Pr Hg Cd
2 4 3
Direct
0.666 0.667 0.217 Pr
0.334 0.333 0.783 Pr
0.000 0.000 0.345 Hg
0.667 0.667 0.894 Hg
0.000 0.000 0.655 Hg
0.333 0.333 0.106 Hg
0.000 0.000 0.000 Cd
0.667 0.667 0.568 Cd
0.333 0.333 0.432 Cd
```



## Be2HgPb (PBE)

Data for crystalline Be2HgPb at its relaxed geometry.

Calculated values
**Energy of formation from the pure elements**: 0.63 eV/atom
**Energy above the lowest structure with this stoichiometry**: 101.4 kJ/mol of formula units
**D(E_F)**: 0.39 states/eV per atom

The structure in POSCAR format:
```
Be2HgPb
1.0
4.222 0.000 0.000
0.000 3.458 -0.049
0.000 -0.052 5.555
Be Hg Pb
2 1 1
Direct
0.000 0.996 0.106 Be
0.000 0.504 0.394 Be
0.500 0.250 0.250 Hg
0.500 0.750 0.750 Pb
```



## Ce2BiH (PBE)

Data for crystalline Ce2BiH at its relaxed geometry.

Calculated values
**Energy above the lowest structure with this stoichiometry**: 74.6 kJ/mol of formula units
**D(E_F)**: 3.52 states/eV per atom

The structure in POSCAR format:
```
Ce2BiH
1.0
-2.039 2.272 2.742
-3.430 1.962 -1.106
-5.590 -4.154 2.355
Bi Ce H
1 2 1
Direct
0.500 0.500 0.500 Bi
0.268 0.268 0.195 Ce
0.732 0.732 0.805 Ce
0.000 0.000 0.000 H
```



Number 1: total moment 0.0 μB per cell. Number 2: total moment 0.0 μB per cell. Number 3: total moment 0.0 μB per cell. Number 4: total moment 0.0 μB per cell. Number 5: total moment 0.0 μB per cell. Number 6: total moment 0.0 μB per cell. Number 7: total moment 0.0 μB per cell. Number 8: total moment 2.6 μB per cell.